DFT (PBE) results for a geometry-optimized BaEr2Co structure.

The total energy comes out at -4.46 eV per atom. The volume comes out at 33.40 Å³/atom. As for the total magnetization: 0.00 μB/atom. The energy relative to the elements is 0.08 eV/atom.

a b c (Å): 3.8448 3.8448 31.3092
angles (deg): 90.00 90.00 120.00
Space group R-3m (No. 166, hexagonal axes)
Asymmetric unit:
Ba: 0.0000 0.0000 0.0000 (multiplicity 3)
Er: 0.0000 0.0000 0.1215 (multiplicity 6)
Co: 0.0000 0.0000 0.5000 (multiplicity 3)